KSrIr | PBE-GGA | optimized geometry

a b c (Å): 4.757 4.757 5.571
angles (deg): 90.00 90.00 120.00
Each line ends with the local moment (μB).
Element x y z (fractional)
Sr 0.333 0.667 0.789  0.00
K 0.667 0.333 0.275  0.00
Ir 0.000 0.000 0.936  0.11

Space group   P3m1
Energy of formation   0.52 eV per atom
Crystal system   trigonal